Entry 1:
VASP calculation (PBE) on a relaxed structure of Sm5Ga2Pt.

Cell lengths 4.700, 7.499, 12.409 Å; angles 90.00, 90.00, 90.00 degrees
Fractional coordinates of all 16 atoms:
Sm (0.000, 0.000, 0.500)
Sm (0.000, 0.500, 0.000)
Sm (0.000, 0.848, 0.213)
Sm (0.000, 0.152, 0.787)
Sm (0.000, 0.652, 0.713)
Sm (0.000, 0.348, 0.287)
Sm (0.500, 0.683, 0.419)
Sm (0.500, 0.317, 0.581)
Sm (0.500, 0.817, 0.919)
Sm (0.500, 0.183, 0.081)
Ga (0.500, 0.570, 0.167)
Ga (0.500, 0.430, 0.833)
Ga (0.500, 0.930, 0.667)
Ga (0.500, 0.070, 0.333)
Pt (0.000, 0.500, 0.500)
Pt (0.000, 0.000, 0.000)

total energy = -5.0626 eV/atom
formation energy from the elements = -601 meV per atom
symmetry = Pbam, No. 55



Entry 2:
VASP calculation (PBE) on a relaxed structure of Sm3Ga2Pt.

Cell lengths 4.424, 11.367, 12.069 Å; angles 90.00, 90.00, 90.00 degrees
Fractional coordinates of all 24 atoms:
Sm (0.250, 0.374, 0.050)
Sm (0.750, 0.626, 0.950)
Sm (0.750, 0.874, 0.450)
Sm (0.250, 0.126, 0.550)
Sm (0.250, 0.697, 0.226)
Sm (0.750, 0.303, 0.774)
Sm (0.750, 0.197, 0.274)
Sm (0.250, 0.803, 0.726)
Sm (0.250, 0.441, 0.381)
Sm (0.750, 0.559, 0.619)
Sm (0.750, 0.941, 0.119)
Sm (0.250, 0.059, 0.881)
Ga (0.250, 0.696, 0.488)
Ga (0.750, 0.304, 0.512)
Ga (0.750, 0.196, 0.012)
Ga (0.250, 0.804, 0.988)
Ga (0.250, 0.992, 0.309)
Ga (0.750, 0.008, 0.691)
Ga (0.750, 0.492, 0.191)
Ga (0.250, 0.508, 0.809)
Pt (0.250, 0.122, 0.124)
Pt (0.750, 0.878, 0.876)
Pt (0.750, 0.622, 0.376)
Pt (0.250, 0.378, 0.624)

total energy = -5.1344 eV/atom
formation energy from the elements = -759 meV per atom
symmetry = Pnma, No. 62



Entry 3:
VASP calculation (PBE) on a relaxed structure of Sm4GaPt.

Cell lengths 9.776, 9.776, 9.776 Å; angles 60.00, 60.00, 60.00 degrees
Fractional coordinates of all 24 atoms:
Sm (0.394, 0.394, 0.394)
Sm (0.817, 0.394, 0.394)
Sm (0.394, 0.817, 0.394)
Sm (0.394, 0.394, 0.817)
Sm (0.556, 0.556, 0.944)
Sm (0.944, 0.944, 0.556)
Sm (0.556, 0.944, 0.556)
Sm (0.944, 0.556, 0.944)
Sm (0.944, 0.556, 0.556)
Sm (0.556, 0.944, 0.944)
Sm (0.187, 0.187, 0.813)
Sm (0.813, 0.813, 0.187)
Sm (0.187, 0.813, 0.187)
Sm (0.813, 0.187, 0.813)
Sm (0.813, 0.187, 0.187)
Sm (0.187, 0.813, 0.813)
Ga (0.169, 0.169, 0.169)
Ga (0.493, 0.169, 0.169)
Ga (0.169, 0.493, 0.169)
Ga (0.169, 0.169, 0.493)
Pt (0.606, 0.606, 0.606)
Pt (0.183, 0.606, 0.606)
Pt (0.606, 0.183, 0.606)
Pt (0.606, 0.606, 0.183)

E above lowest polymorph = 0.000 eV/atom
total energy = -5.2625 eV/atom
formation energy from the elements = -605 meV per atom
symmetry = F-43m, No. 216



no.,M_tot (μB per formula unit)
1,0.00
2,0.00
3,0.00